Entry 1:
Entry from Alexandria via LeMat-Bulk: TbErPu after structural relaxation (PBE).

Lattice parameters (Å, degrees): 3.5040 3.5040 8.5020 90.00 90.00 120.00
Last column: nearest neighbours and their distance in Å.
Element x y z (fractional)
Tb (0.0000, 0.0000, 0.0013)  3 Pu 3.48, 6 Tb 3.50, 3 Er 3.51
Er (0.3333, 0.6667, 0.6641)  3 Pu 3.46, 6 Er 3.50, 3 Tb 3.51
Pu (0.6667, 0.3333, 0.3346)  3 Er 3.46, 3 Tb 3.48, 6 Pu 3.50

Values from the calculation:
Theoretical density   10.473 g cm⁻³
Energy of formation   0.12 eV/atom

Entry 2:
Entry from Alexandria via LeMat-Bulk: Tb4Er5Pu after structural relaxation (PBE).

Lattice parameters (Å, degrees): 5.3960 8.1062 8.1062 83.64 70.56 70.56
Last column: nearest neighbours and their distance in Å.
Element x y z (fractional)
Tb (0.4999, 0.3236, 0.6764)  7 Er 3.42-3.68, 5 Tb 3.81
Tb (0.1763, 0.3236, 0.3236)  7 Er 3.42-3.68, 5 Tb 3.81
Tb (0.8235, 0.6764, 0.6764)  7 Er 3.42-3.68, 5 Tb 3.81
Tb (0.5000, 0.6764, 0.3236)  7 Er 3.42-3.68, 5 Tb 3.81
Pu (0.0052, 0.0000, 0.0000)  6 Er 2.69-2.81
Er (0.1841, 0.6323, 0.0000)  1 Pu 2.81
Er (0.8163, 0.0000, 0.3677)  1 Pu 2.81
Er (0.8164, 0.3677, 0.0000)  1 Pu 2.81
Er (0.5045, 0.0000, 0.0000)  2 Pu 2.69-2.70
Er (0.1841, 0.0000, 0.6323)  1 Pu 2.81

Values from the calculation:
Theoretical density   9.038 g cm⁻³
Energy of formation   0.26 eV/atom

Entry 3:
Entry from Alexandria via LeMat-Bulk: Tb8Er5Pu after structural relaxation (PBE).

Lattice parameters (Å, degrees): 8.3605 8.3605 8.3605 107.24 114.04 107.24
Last column: nearest neighbours and their distance in Å.
Element x y z (fractional)
Tb (0.7803, 0.3045, 0.4059)  1 Pu 3.25, 3 Tb 3.26-3.52, 2 Er 3.40-3.43
Tb (0.5461, 0.9059, 0.9438)  1 Pu 2.96, 3 Er 3.22-3.28
Tb (0.1014, 0.6955, 0.4758)  1 Pu 3.25, 3 Tb 3.26-3.52, 2 Er 3.40-3.43
Tb (0.5242, 0.6256, 0.2197)  1 Pu 3.25, 3 Tb 3.26-3.52, 2 Er 3.40-3.43
Tb (0.5941, 0.3744, 0.8986)  1 Pu 3.25, 3 Tb 3.26-3.52, 2 Er 3.40-3.43
Tb (0.0562, 0.6023, 0.9621)  1 Pu 2.96, 3 Er 3.22-3.28
Tb (0.3598, 0.3977, 0.4539)  1 Pu 2.96, 3 Er 3.22-3.28
Tb (0.0379, 0.0941, 0.6402)  1 Pu 2.96, 3 Er 3.22-3.28
Er (0.5000, 0.0000, 0.5000)  4 Tb 3.43, 4 Er 3.81
Er (0.2855, 0.0804, 0.0510)  5 Tb 3.22-3.57, 3 Er 3.39-3.48
Er (0.7949, 0.7655, 0.7145)  5 Tb 3.22-3.57, 3 Er 3.39-3.48
Er (0.9490, 0.2345, 0.0294)  5 Tb 3.22-3.57, 3 Er 3.39-3.48
Er (0.9706, 0.9196, 0.2051)  5 Tb 3.22-3.57, 3 Er 3.39-3.48
Pu (0.2500, 0.5000, 0.7500)  8 Tb 2.96-3.25

Values from the calculation:
Theoretical density   8.723 g cm⁻³
Energy of formation   0.28 eV/atom